Record 1
DFT (GGA-PBE) results for an optimized crystal structure of CaCr2Cd.

Lattice parameters (Å, degrees): 2.7036 2.7036 9.4699 90.00 90.00 92.88
Last column: nearest neighbours and their distance in Å.
Atoms (fractional coordinates):
Ca1 0.0000 0.0000 0.0000  4 Ca 2.70
Cr1 0.5000 0.5000 0.2668  4 Cr 2.70, 4 Cd 2.89-2.95
Cr2 0.5000 0.5000 0.7332  4 Cr 2.70, 4 Cd 2.89-2.95
Cd1 0.0000 0.0000 0.5000  4 Cd 2.70, 8 Cr 2.89-2.95

energy of formation = 0.994 eV per atom
calculated volume = 69 Å³ per cell
DOS(E_F) = 3.0 states/eV/f.u.

***

Record 2
DFT (GGA-PBE) results for an optimized crystal structure of CaCr2Cd.

Lattice parameters (Å, degrees): 5.3151 5.3151 5.3151 135.60 124.89 73.35
Last column: nearest neighbours and their distance in Å.
Atoms (fractional coordinates):
Ca1 0.0000 0.0000 0.0000  8 Cr 3.07-3.20, 4 Cd 3.10-3.11
Cr1 0.5510 0.5510 0.0000  2 Cr 2.51
Cr2 0.7283 0.2283 0.5000  2 Cr 2.51
Cd1 0.2792 0.7792 0.5000  8 Cr 3.07-3.20, 4 Ca 3.10-3.11

energy of formation = 0.420 eV per atom
calculated volume = 84 Å³ per cell
DOS(E_F) = 3.5 states/eV/f.u.

***

Record 3
DFT (GGA-PBE) results for an optimized crystal structure of CaCr2Cd.

Lattice parameters (Å, degrees): 3.2107 3.2107 7.6542 90.00 90.00 90.00
Last column: nearest neighbours and their distance in Å.
Atoms (fractional coordinates):
Ca1 0.0000 0.0000 0.0000  4 Ca 3.21, 5 Cr 3.23-3.27, 4 Cd 3.34
Cr1 0.0000 0.0000 0.5730  4 Cr 2.47
Cr2 0.5000 0.5000 0.7001  4 Cr 2.47
Cd1 0.5000 0.5000 0.3206  5 Cr 2.91-2.98, 4 Cd 3.21

energy of formation = 0.261 eV per atom
calculated volume = 79 Å³ per cell
DOS(E_F) = 2.8 states/eV/f.u.

***

Record 4
DFT (GGA-PBE) results for an optimized crystal structure of CaCrCd3.

Lattice parameters (Å, degrees): 5.2212 5.2212 5.2212 90.00 90.00 90.00
Last column: nearest neighbours and their distance in Å.
Atoms (fractional coordinates):
Ca1 0.0000 0.0000 0.0000  12 Cd 3.69
Cr1 0.5000 0.5000 0.5000  6 Cd 2.61
Cd1 0.0000 0.5000 0.5000  2 Cr 2.61
Cd2 0.5000 0.0000 0.5000  2 Cr 2.61
Cd3 0.5000 0.5000 0.0000  2 Cr 2.61

energy above the most stable polymorph in this dataset = 0 meV/atom
energy of formation = 0.299 eV per atom
calculated volume = 142 Å³ per cell
DOS(E_F) = 3.7 states/eV/f.u.

***

Record 5
DFT (GGA-PBE) results for an optimized crystal structure of CaCr2Cd.

Lattice parameters (Å, degrees): 4.9896 4.9896 4.9896 60.00 60.00 60.00
Last column: nearest neighbours and their distance in Å.
Atoms (fractional coordinates):
Ca1 0.0000 0.0000 0.0000  4 Cr 3.06, 4 Cd 3.06
Cr1 0.5000 0.5000 0.5000  4 Cd 3.06, 4 Cr 3.06
Cr2 0.7500 0.7500 0.7500  4 Cr 3.06, 4 Ca 3.06
Cd1 0.2500 0.2500 0.2500  4 Cr 3.06, 4 Ca 3.06

energy of formation = 0.642 eV per atom
calculated volume = 88 Å³ per cell
DOS(E_F) = 4.5 states/eV/f.u.

***

Record 6
DFT (GGA-PBE) results for an optimized crystal structure of CaCr2Cd.

Lattice parameters (Å, degrees): 4.5477 4.5477 4.1951 90.00 90.00 90.00
Last column: nearest neighbours and their distance in Å.
Atoms (fractional coordinates):
Ca1 0.0000 0.0000 0.0000  8 Cr 3.09, 4 Cd 3.22
Cr1 0.0000 0.5000 0.5000  4 Cd 3.09, 4 Ca 3.09, 4 Cr 3.22
Cr2 0.5000 0.0000 0.5000  4 Cd 3.09, 4 Ca 3.09, 4 Cr 3.22
Cd1 0.5000 0.5000 0.0000  8 Cr 3.09, 4 Ca 3.22

energy of formation = 0.615 eV per atom
calculated volume = 87 Å³ per cell
DOS(E_F) = 3.3 states/eV/f.u.

***

Record 7
DFT (GGA-PBE) results for an optimized crystal structure of CaCr2Cd.

Lattice parameters (Å, degrees): 2.8794 4.9904 5.7763 90.00 90.00 90.00
Last column: nearest neighbours and their distance in Å.
Atoms (fractional coordinates):
Ca1 0.0000 0.0000 0.0000  2 Ca 2.88, 2 Cd 2.89, 8 Cr 3.04
Cr1 0.5000 0.5000 0.1669  1 Cr 1.93
Cr2 0.5000 0.5000 0.8331  1 Cr 1.93
Cd1 0.0000 0.0000 0.5000  2 Cd 2.88, 2 Ca 2.89

energy of formation = 0.939 eV per atom
calculated volume = 83 Å³ per cell
DOS(E_F) = 4.5 states/eV/f.u.